1.
VASP calculation (GGA-PBE) on a relaxed MgAlCr2H crystal.

Cell lengths 5.228, 5.228, 3.303 Å; angles 90.00, 90.00, 90.00 degrees
Fractional positions:
Mg (0.000, 0.000, 0.000)
Al (0.500, 0.500, 0.500)
Cr (0.000, 0.500, 0.500)
Cr (0.500, 0.000, 0.500)
H (0.500, 0.500, 0.000)

Values from the calculation:
The value obtained for the raw total energy is -23.42 eV for the cell shown. Its theoretical density is 2874 kg/m3. Its volume is 18.1 Å³ per atom.

***

2.
VASP calculation (GGA-PBE) on a relaxed MgAl2CrH crystal.

Cell lengths 4.985, 4.985, 4.846 Å; angles 90.00, 90.00, 90.00 degrees
Fractional positions:
Mg (0.000, 0.000, 0.000)
Al (0.000, 0.500, 0.000)
Al (0.500, 0.000, 0.000)
Cr (0.000, 0.000, 0.500)
H (0.500, 0.500, 0.500)

Values from the calculation:
The value obtained for the raw total energy is -12.42 eV for the cell shown. Its theoretical density is 1810 kg/m3. Its volume is 24.1 Å³ per atom.

***

3.
VASP calculation (GGA-PBE) on a relaxed MnAlCr2H crystal.

Cell lengths 3.789, 3.789, 3.686 Å; angles 90.00, 90.00, 90.00 degrees
Fractional positions:
Mn (0.000, 0.000, 0.000)
Al (0.500, 0.500, 0.000)
Cr (0.000, 0.500, 0.500)
Cr (0.500, 0.000, 0.500)
H (0.000, 0.000, 0.500)

Values from the calculation:
The value obtained for the raw total energy is -35.55 eV for the cell shown. Its theoretical density is 5865 kg/m3. Its volume is 10.6 Å³ per atom.

***

Q: Which value of volume does entry 3 give?
A: 10.6 Å³ per atom

***

Q: theoretical density of number 2 (MgAl2CrH)?
A: 1810 kg/m3

***

Q: What is the theoretical density in the first record?
A: 2874 kg/m3

***

Copy entry 2 word for word.
VASP calculation (GGA-PBE) on a relaxed MgAl2CrH crystal.

Cell lengths 4.985, 4.985, 4.846 Å; angles 90.00, 90.00, 90.00 degrees
Fractional positions:
Mg (0.000, 0.000, 0.000)
Al (0.000, 0.500, 0.000)
Al (0.500, 0.000, 0.000)
Cr (0.000, 0.000, 0.500)
H (0.500, 0.500, 0.500)

Values from the calculation:
The value obtained for the raw total energy is -12.42 eV for the cell shown. Its theoretical density is 1810 kg/m3. Its volume is 24.1 Å³ per atom.